1.
# Tb3I7O (PBE-GGA, relaxed)
data_Tb3I7O
_chemical_formula_sum 'Tb3 I7 O1'
_symmetry_space_group_name_H-M 'P 1'
_symmetry_Int_Tables_number 1
_cell_length_a 7.8021
_cell_length_b 8.3968
_cell_length_c 8.3968
_cell_angle_alpha 120.00
_cell_angle_beta 90.00
_cell_angle_gamma 90.00
loop_
_symmetry_equiv_pos_as_xyz
'x,y,z'
loop_
_atom_site_label
_atom_site_fract_x
_atom_site_fract_y
_atom_site_fract_z
Tb1 0.7611 0.4805 0.5195
Tb2 0.7611 0.4805 0.9611
Tb3 0.7611 0.0389 0.5195
I1 0.0096 0.1619 0.8381
I2 0.0096 0.1619 0.3237
I3 0.9874 0.6667 0.3333
I4 0.5414 0.8337 0.1663
I5 0.5414 0.3327 0.1663
I6 0.5414 0.8337 0.6673
I7 0.0096 0.6763 0.8381
O1 0.6915 0.3333 0.6667
# **Crystal system**: trigonal
# **Formation energy (no corrections)**: -1.703 eV per atom

***

2.
# Cr2Pt3Rh3 (PBE-GGA, relaxed)
data_Cr2Pt3Rh3
_chemical_formula_sum 'Cr2 Pt3 Rh3'
_symmetry_space_group_name_H-M 'P 1'
_symmetry_Int_Tables_number 1
_cell_length_a 3.8637
_cell_length_b 3.8568
_cell_length_c 7.7063
_cell_angle_alpha 90.00
_cell_angle_beta 90.00
_cell_angle_gamma 90.00
loop_
_symmetry_equiv_pos_as_xyz
'x,y,z'
loop_
_atom_site_label
_atom_site_fract_x
_atom_site_fract_y
_atom_site_fract_z
Cr1 0.0000 0.0000 0.7463
Cr2 0.0000 0.0000 0.2537
Pt1 0.5000 0.5000 0.7471
Pt2 0.5000 0.5000 0.2529
Pt3 0.5000 0.0000 0.0000
Rh1 0.5000 0.0000 0.5000
Rh2 0.0000 0.5000 0.0000
Rh3 0.0000 0.5000 0.5000
# **Crystal system**: orthorhombic
# **DFT formation energy**: -1.79 eV/f.u.

***

3.
# Cs2UTcO6 (PBE-GGA, relaxed)
data_Cs2UTcO6
_chemical_formula_sum 'Cs2 U1 Tc1 O6'
_symmetry_space_group_name_H-M 'P 1'
_symmetry_Int_Tables_number 1
_cell_length_a 5.8332
_cell_length_b 5.8334
_cell_length_c 7.2765
_cell_angle_alpha 66.36
_cell_angle_beta 66.36
_cell_angle_gamma 89.99
loop_
_symmetry_equiv_pos_as_xyz
'x,y,z'
loop_
_atom_site_label
_atom_site_fract_x
_atom_site_fract_y
_atom_site_fract_z
Cs1 0.7500 0.2500 0.5000
Cs2 0.2500 0.7500 0.5000
U1 0.0000 0.0000 0.0000
Tc1 0.5000 0.5000 0.0000
O1 0.1584 0.1584 0.6832
O2 0.7278 0.7277 0.0000
O3 0.2720 0.7281 0.0000
O4 0.7280 0.2719 0.0000
O5 0.2722 0.2723 0.0000
O6 0.8416 0.8416 0.3168
# **Crystal system**: tetragonal
# **Formation energy (no corrections)**: -2.126 eV per atom

***

4.
# Sm2Ga4Ni3Pt (PBE-GGA, relaxed)
data_Sm2Ga4Ni3Pt
_chemical_formula_sum 'Sm2 Ga4 Ni3 Pt1'
_symmetry_space_group_name_H-M 'P 1'
_symmetry_Int_Tables_number 1
_cell_length_a 4.0531
_cell_length_b 4.0531
_cell_length_c 10.5400
_cell_angle_alpha 90.00
_cell_angle_beta 90.00
_cell_angle_gamma 90.00
loop_
_symmetry_equiv_pos_as_xyz
'x,y,z'
loop_
_atom_site_label
_atom_site_fract_x
_atom_site_fract_y
_atom_site_fract_z
Sm1 0.5000 0.0000 0.2393
Sm2 0.0000 0.5000 0.7607
Ga1 0.5000 0.5000 0.0000
Ga2 0.0000 0.0000 0.0000
Ga3 0.5000 0.0000 0.6400
Ga4 0.0000 0.5000 0.3600
Ni1 0.0000 0.0000 0.5000
Ni2 0.5000 0.0000 0.8678
Ni3 0.0000 0.5000 0.1322
Pt1 0.5000 0.5000 0.5000
# **Crystal system**: tetragonal
# **DFT formation energy**: -6.70 eV/f.u.